(1)
DFT (PBE) results for a relaxed Pu2GaOs crystal.

extended XYZ file:
```
8
Lattice="-1.0868 -2.8684 3.8265 -4.4887 -3.5673 -0.8064 2.5823 -7.5667 -1.7961" Properties=species:S:1:pos:R:3 pbc="T T T"
Pu -1.0867 -9.9168 -1.5984
Ga 0.2024 -8.1827 0.6068
Os 0.7453 -6.7498 -1.3046
Pu -2.8108 -9.5237 1.3492
Pu -0.1823 -4.4787 -0.1252
Ga -3.1955 -5.8198 0.6172
Pu -1.9065 -4.0856 2.8224
Os -3.7384 -7.2526 2.5286
```

## Properties
As for the symmetry: C2/c, No. 15. Its calculated formation energy is -8 meV/atom.

(2)
DFT (PBE) results for a relaxed ZnGa2Br4 crystal.

extended XYZ file:
```
7
Lattice="5.3194 0.0000 0.0000 0.0000 5.3194 0.0000 -2.6597 -2.6597 7.4893" Properties=species:S:1:pos:R:3 pbc="T T T"
Br 2.6597 2.6597 4.9340
Br 0.0000 0.0000 2.5553
Zn 0.0000 0.0000 0.0000
Br 0.0000 2.6597 0.0000
Ga 2.6597 2.6597 2.0151
Ga 0.0000 0.0000 5.4742
Br 2.6597 0.0000 0.0000
```

## Properties
As for the symmetry: I4/mmm, No. 139. The energy above the most stable polymorph in this dataset comes out at 123.0 meV/atom.

(3)
DFT (PBE) results for a relaxed VGaNi2 crystal.

extended XYZ file:
```
4
Lattice="2.6462 0.0000 0.0000 0.0000 4.3113 0.0000 0.0000 0.0000 4.3113" Properties=species:S:1:pos:R:3 pbc="T T T"
Ga 1.3231 0.0000 0.0000
Ni 0.0000 0.0000 2.1557
V 1.3231 2.1557 2.1557
Ni 0.0000 2.1557 0.0000
```

## Properties
As for the symmetry: P4/mmm, No. 123. Its calculated formation energy is -188 meV/atom.

(4)
DFT (PBE) results for a relaxed LaZnIn crystal.

extended XYZ file:
```
3
Lattice="-3.9117 2.3770 1.6765 -1.7307 -0.9875 4.4488 0.4847 3.2678 3.5846" Properties=species:S:1:pos:R:3 pbc="T T T"
La -2.5789 2.3286 4.8549
Zn -1.2894 1.1643 2.4275
In 0.0000 0.0000 0.0000
```

## Properties
As for the symmetry: F-43m, No. 216. Its calculated formation energy is -443 meV/atom.